A relaxed structure of KPm3S4. Source: Alexandria via LeMat-Bulk, functional PBE.

CIF file:
```
data_KPm3S4
_space_group_name_H-M_alt 'P 1'
_space_group_IT_number 1
_space_group_name_Hall 'P 1'
_cell_length_a 4.0919
_cell_length_b 4.0919
_cell_length_c 27.9713
_cell_angle_alpha 90.00
_cell_angle_beta 90.00
_cell_angle_gamma 120.00
loop_
_atom_site_label
_atom_site_fract_x
_atom_site_fract_y
_atom_site_fract_z
K1 0.3333 0.6667 0.2500
K2 0.6667 0.3333 0.7500
Pm1 0.0000 0.0000 0.0000
Pm2 0.0000 0.0000 0.5000
Pm3 0.3333 0.6667 0.6167
Pm4 0.3333 0.6667 0.8833
Pm5 0.6667 0.3333 0.1167
Pm6 0.6667 0.3333 0.3833
S1 0.0000 0.0000 0.1718
S2 0.0000 0.0000 0.3282
S3 0.0000 0.0000 0.6718
S4 0.0000 0.0000 0.8282
S5 0.3333 0.6667 0.0586
S6 0.3333 0.6667 0.4414
S7 0.6667 0.3333 0.5586
S8 0.6667 0.3333 0.9414
```

Computed properties:
DFT total energy, eV per cell: -94.70
Crystal system: hexagonal
E_form (uncorrected), kJ/mol of formula units: -1494
Magnetic moment, μB/atom: 0.000

***

A relaxed structure of KPm4S6. Source: Alexandria via LeMat-Bulk, functional PBE.

CIF file:
```
data_KPm4S6
_space_group_name_H-M_alt 'P 1'
_space_group_IT_number 1
_space_group_name_Hall 'P 1'
_cell_length_a 7.0862
_cell_length_b 7.0862
_cell_length_c 21.3624
_cell_angle_alpha 90.00
_cell_angle_beta 90.00
_cell_angle_gamma 146.72
loop_
_atom_site_label
_atom_site_fract_x
_atom_site_fract_y
_atom_site_fract_z
K1 0.1484 0.8516 0.7500
K2 0.8516 0.1484 0.2500
Pm1 0.1028 0.8972 0.1355
Pm2 0.1028 0.8972 0.3645
Pm3 0.3693 0.6307 0.0430
Pm4 0.3693 0.6307 0.4570
Pm5 0.6307 0.3693 0.5430
Pm6 0.6307 0.3693 0.9570
Pm7 0.8972 0.1028 0.6355
Pm8 0.8972 0.1028 0.8645
S1 0.0000 0.0000 0.0000
S2 0.0000 0.0000 0.5000
S3 0.1761 0.8239 0.2500
S4 0.2718 0.7282 0.5787
S5 0.2718 0.7282 0.9213
S6 0.4672 0.5328 0.1541
S7 0.4672 0.5328 0.3459
S8 0.5328 0.4672 0.6541
S9 0.5328 0.4672 0.8459
S10 0.7282 0.2718 0.0787
S11 0.7282 0.2718 0.4213
S12 0.8239 0.1761 0.7500
```

Computed properties:
DFT total energy, eV per cell: -132.42
Crystal system: orthorhombic
E_form (uncorrected), kJ/mol of formula units: -2059
Magnetic moment, μB/atom: 0.000

***

A relaxed structure of K3Pm3SbS8. Source: Alexandria via LeMat-Bulk, functional PBE.

CIF file:
```
data_K3Pm3SbS8
_space_group_name_H-M_alt 'P 1'
_space_group_IT_number 1
_space_group_name_Hall 'P 1'
_cell_length_a 8.8773
_cell_length_b 8.8773
_cell_length_c 8.8773
_cell_angle_alpha 54.99
_cell_angle_beta 54.99
_cell_angle_gamma 54.99
loop_
_atom_site_label
_atom_site_fract_x
_atom_site_fract_y
_atom_site_fract_z
K1 0.0000 0.5000 0.5000
K2 0.5000 0.0000 0.5000
K3 0.5000 0.5000 0.0000
Pm1 0.0000 0.0000 0.5000
Pm2 0.0000 0.5000 0.0000
Pm3 0.5000 0.0000 0.0000
Sb1 0.5000 0.5000 0.5000
S1 0.2350 0.2350 0.2350
S2 0.2506 0.7228 0.7228
S3 0.2772 0.2772 0.7494
S4 0.2772 0.7494 0.2772
S5 0.7228 0.2506 0.7228
S6 0.7228 0.7228 0.2506
S7 0.7494 0.2772 0.2772
S8 0.7650 0.7650 0.7650
```

Computed properties:
DFT total energy, eV per cell: -77.32
Crystal system: trigonal
E_form (uncorrected), kJ/mol of formula units: -2183
Magnetic moment, μB/atom: 0.000

***

A relaxed structure of K4Pm3SbS8. Source: Alexandria via LeMat-Bulk, functional PBE.

CIF file:
```
data_K4Pm3SbS8
_space_group_name_H-M_alt 'P 1'
_space_group_IT_number 1
_space_group_name_Hall 'P 1'
_cell_length_a 8.7934
_cell_length_b 8.7934
_cell_length_c 8.7934
_cell_angle_alpha 56.32
_cell_angle_beta 56.32
_cell_angle_gamma 56.32
loop_
_atom_site_label
_atom_site_fract_x
_atom_site_fract_y
_atom_site_fract_z
K1 0.0000 0.0000 0.0000
K2 0.0000 0.5000 0.5000
K3 0.5000 0.0000 0.5000
K4 0.5000 0.5000 0.0000
Pm1 0.0000 0.0000 0.5000
Pm2 0.0000 0.5000 0.0000
Pm3 0.5000 0.0000 0.0000
Sb1 0.5000 0.5000 0.5000
S1 0.2356 0.2356 0.2356
S2 0.2388 0.7330 0.7330
S3 0.2670 0.2670 0.7612
S4 0.2670 0.7612 0.2670
S5 0.7330 0.2388 0.7330
S6 0.7330 0.7330 0.2388
S7 0.7612 0.2670 0.2670
S8 0.7644 0.7644 0.7644
```

Computed properties:
DFT total energy, eV per cell: -80.91
Crystal system: trigonal
E_form (uncorrected), kJ/mol of formula units: -2425
Magnetic moment, μB/atom: 0.000

***

A relaxed structure of K2PmScS4. Source: Alexandria via LeMat-Bulk, functional PBE.

CIF file:
```
data_K2PmScS4
_space_group_name_H-M_alt 'P 1'
_space_group_IT_number 1
_space_group_name_Hall 'P 1'
_cell_length_a 6.9430
_cell_length_b 4.0126
_cell_length_c 7.7061
_cell_angle_alpha 90.00
_cell_angle_beta 107.47
_cell_angle_gamma 90.00
loop_
_atom_site_label
_atom_site_fract_x
_atom_site_fract_y
_atom_site_fract_z
K1 0.0000 0.0000 0.0000
K2 0.5000 0.5000 0.0000
Pm1 0.0000 0.5000 0.5000
Sc1 0.5000 0.0000 0.5000
S1 0.2519 0.0000 0.7025
S2 0.2840 0.5000 0.3047
S3 0.7160 0.5000 0.6953
S4 0.7481 0.0000 0.2975
```

Computed properties:
DFT total energy, eV per cell: -44.08
Crystal system: monoclinic
E_form (uncorrected), kJ/mol of formula units: -1379
Magnetic moment, μB/atom: 0.000

***

A relaxed structure of KPmSc4S8. Source: Alexandria via LeMat-Bulk, functional PBE.

CIF file:
```
data_KPmSc4S8
_space_group_name_H-M_alt 'P 1'
_space_group_IT_number 1
_space_group_name_Hall 'P 1'
_cell_length_a 8.0754
_cell_length_b 8.0754
_cell_length_c 8.0754
_cell_angle_alpha 57.66
_cell_angle_beta 57.66
_cell_angle_gamma 57.66
loop_
_atom_site_label
_atom_site_fract_x
_atom_site_fract_y
_atom_site_fract_z
K1 0.0000 0.0000 0.0000
Pm1 0.6392 0.6392 0.6392
Sc1 0.1191 0.6395 0.6395
Sc2 0.2618 0.2618 0.2618
Sc3 0.6395 0.1191 0.6395
Sc4 0.6395 0.6395 0.1191
S1 0.3838 0.3838 0.8727
S2 0.3838 0.8727 0.3838
S3 0.3918 0.3918 0.3918
S4 0.4327 0.8819 0.8819
S5 0.8630 0.8630 0.8630
S6 0.8727 0.3838 0.3838
S7 0.8819 0.4327 0.8819
S8 0.8819 0.8819 0.4327
```

Computed properties:
DFT total energy, eV per cell: -88.92
Crystal system: trigonal
E_form (uncorrected), kJ/mol of formula units: -2386
Magnetic moment, μB/atom: 0.000